Entry 1:
ThMgZn2Au2: optimized geometry, PBE-GGA.

Properties
formation enthalpy at 0 K: -0.488 eV per atom
ρ: 10.653 g/cm³

Cell: 4.541 4.541 6.817 Å, 90.00 90.00 120.00°
Sites, in units of the cell vectors:
Mg (0.000, 0.000, 0.500)
Zn (0.667, 0.333, 0.298)
Au (0.667, 0.333, 0.731)
Zn (0.333, 0.667, 0.702)
Au (0.333, 0.667, 0.269)
Th (0.000, 0.000, 0.000)

Entry 2:
KY2Si: optimized geometry, PBE-GGA.

Properties
formation energy from raw total energies: -1.63 kcal/mol of atoms
ρ: 3.119 g/cm³

Cell: 3.483 3.483 10.754 Å, 90.00 90.00 89.95°
Sites, in units of the cell vectors:
Y (0.000, 0.000, 0.911)
Y (0.000, 0.000, 0.589)
Si (0.500, 0.500, 0.750)
K (0.500, 0.500, 0.250)

Entry 3:
Dy2ThRh: optimized geometry, PBE-GGA.

Properties
formation enthalpy at 0 K: -0.329 eV per atom
ρ: 9.925 g/cm³

Cell: 3.571 5.454 11.364 Å, 93.92 90.00 90.00°
Sites, in units of the cell vectors:
Th (0.424, 0.740, 0.433)
Dy (0.922, 0.315, 0.892)
Dy (0.422, 0.685, 0.108)
Th (0.924, 0.260, 0.567)
Dy (0.422, 0.790, 0.737)
Rh (0.422, 0.182, 0.070)
Dy (0.922, 0.210, 0.263)
Rh (0.922, 0.818, 0.930)

Entry 4:
LiHfW3: optimized geometry, PBE-GGA.

Properties
formation enthalpy at 0 K: 1.240 eV per atom
ρ: 14.878 g/cm³

Cell: 4.349 4.349 4.349 Å, 90.00 90.00 90.00°
Sites, in units of the cell vectors:
W (0.000, 0.000, 0.500)
Hf (0.500, 0.500, 0.500)
Li (0.000, 0.000, 0.000)
W (0.500, 0.000, 0.000)
W (0.000, 0.500, 0.000)

Entry 5:
CsBaPCl2: optimized geometry, PBE-GGA.

Properties
formation energy from raw total energies: -14.44 kcal/mol of atoms
ρ: 2.945 g/cm³

Cell: 6.064 6.064 5.705 Å, 90.00 90.00 90.00°
Site moments in Bohr magnetons follow the coordinates.
Sites, in units of the cell vectors:
Ba (0.500, 0.500, 0.500)  0.00
Cl (0.000, 0.500, 0.000)  0.01
P (0.000, 0.000, 0.500)  0.38
Cs (0.000, 0.000, 0.000)  0.04
Cl (0.500, 0.000, 0.000)  0.01

Entry 6:
BaCa3Hg3: optimized geometry, PBE-GGA.

Properties
formation enthalpy at 0 K: -0.143 eV per atom
ρ: 4.752 g/cm³

Cell: 8.437 8.437 8.437 Å, 90.00 90.00 90.00°
Sites, in units of the cell vectors:
Hg (0.750, 0.000, 0.500)
Hg (0.250, 0.000, 0.500)
Ca (0.500, 0.000, 0.750)
Ba (0.500, 0.500, 0.500)
Ca (0.000, 0.750, 0.500)
Ca (0.250, 0.500, 0.000)
Hg (0.000, 0.500, 0.250)
Ca (0.500, 0.000, 0.250)
Hg (0.000, 0.500, 0.750)
Hg (0.500, 0.750, 0.000)
Ca (0.000, 0.250, 0.500)
Ca (0.750, 0.500, 0.000)
Hg (0.500, 0.250, 0.000)
Ba (0.000, 0.000, 0.000)